1.
Compound: SnWAuI2
Source: the Alexandria database
Functional: GGA-PBE
Structure: optimized geometry

Properties
Uncorrected formation energy in eV per atom: 0.92
Theoretical density in g/cm³: 8.102
Total energy in eV per cell: -18.7

abc: 5.417 5.262 5.417
angles: 90.00 90.00 90.00
Each line ends with the local moment (μB).
Atoms (fractional coordinates):
W: 0.000 0.000 0.000  1.24
Sn: 0.500 0.500 0.500  0.06
Au: 0.000 0.500 0.000  0.07
I: 0.500 0.000 0.000  0.01
I: 0.000 0.000 0.500  0.03

---

2.
Compound: SnW2AuI
Source: the Alexandria database
Functional: GGA-PBE
Structure: optimized geometry

Properties
Uncorrected formation energy in eV per atom: 2.19
Theoretical density in g/cm³: 9.212
Total energy in eV per cell: -23.8

abc: 5.332 5.138 5.332
angles: 90.00 90.00 90.00
Each line ends with the local moment (μB).
Atoms (fractional coordinates):
W: 0.000 0.000 0.500  2.77
W: 0.500 0.000 0.000  2.39
Au: 0.000 0.500 0.000  0.03
I: 0.500 0.500 0.500  0.06
Sn: 0.000 0.000 0.000  -0.06

---

3.
Compound: Sr5Au3I12
Source: the Alexandria database
Functional: GGA-PBE
Structure: optimized geometry

Properties
Uncorrected formation energy in eV per atom: -1.02
Theoretical density in g/cm³: 4.658
Total energy in eV per cell: -229.4

abc: 16.782 16.782 16.782
angles: 109.47 109.47 109.47
Atoms (fractional coordinates):
I: 0.285 0.323 0.429
I: 0.106 0.461 0.677
Au: 0.875 0.125 0.250
I: 0.606 0.177 0.961
I: 0.894 0.355 0.071
Au: 0.375 0.750 0.625
I: 0.677 0.961 0.106
Sr: 0.250 0.375 0.625
I: 0.177 0.571 0.215
Sr: 0.000 0.000 0.000
Sr: 0.500 0.500 0.500
Au: 0.750 0.875 0.625
I: 0.461 0.106 0.177
I: 0.571 0.177 0.715
Sr: 0.375 0.125 0.750
Sr: 0.500 0.000 0.000
Sr: 0.000 0.000 0.500
I: 0.823 0.394 0.539
Au: 0.625 0.375 0.750
I: 0.823 0.429 0.785
I: 0.961 0.285 0.855
Sr: 0.125 0.750 0.375
Sr: 0.875 0.625 0.750
I: 0.215 0.145 0.539
I: 0.571 0.394 0.355
I: 0.145 0.929 0.606
I: 0.855 0.785 0.961
I: 0.606 0.429 0.145
Au: 0.125 0.875 0.750
Sr: 0.000 0.500 0.000
Au: 0.125 0.250 0.875
Au: 0.250 0.125 0.375
Sr: 0.625 0.750 0.875
Sr: 0.500 0.500 0.000
I: 0.355 0.894 0.571
I: 0.039 0.323 0.394
I: 0.071 0.855 0.894
Au: 0.875 0.750 0.125
I: 0.894 0.539 0.323
I: 0.429 0.606 0.645
Sr: 0.125 0.375 0.250
I: 0.071 0.215 0.677
Sr: 0.375 0.250 0.125
Au: 0.375 0.625 0.250
I: 0.355 0.461 0.285
Sr: 0.250 0.875 0.125
I: 0.855 0.071 0.394
I: 0.394 0.571 0.855
Au: 0.750 0.375 0.125
I: 0.429 0.823 0.285
I: 0.785 0.855 0.461
I: 0.715 0.677 0.571
I: 0.677 0.715 0.071
Sr: 0.750 0.625 0.375
Sr: 0.875 0.250 0.625
I: 0.539 0.645 0.215
Sr: 0.625 0.875 0.250
Sr: 0.000 0.500 0.500
I: 0.106 0.645 0.929
I: 0.961 0.677 0.606
Au: 0.625 0.250 0.375
I: 0.785 0.929 0.823
I: 0.215 0.071 0.177
I: 0.715 0.039 0.645
I: 0.039 0.715 0.145
I: 0.645 0.106 0.429
I: 0.394 0.823 0.039
I: 0.929 0.145 0.106
I: 0.539 0.894 0.823
I: 0.323 0.039 0.894
Sr: 0.500 0.000 0.500
I: 0.145 0.215 0.039
Sr: 0.750 0.125 0.875
I: 0.645 0.539 0.715
I: 0.461 0.355 0.785
I: 0.929 0.785 0.323
I: 0.323 0.285 0.929
I: 0.177 0.606 0.461
I: 0.285 0.961 0.355
Au: 0.250 0.625 0.875

---

4.
Compound: SrAuI
Source: the Alexandria database
Functional: GGA-PBE
Structure: optimized geometry

Properties
Uncorrected formation energy in eV per atom: -1.17
Theoretical density in g/cm³: 5.966
Total energy in eV per cell: -20.1

abc: 4.825 4.825 11.692
angles: 90.15 101.75 120.01
Atoms (fractional coordinates):
Au: 0.670 0.835 0.505
Sr: 0.115 0.559 0.674
Au: 0.330 0.165 0.495
I: 0.554 0.279 0.833
Sr: 0.885 0.441 0.326
I: 0.446 0.721 0.167

---

5.
Compound: SrAuI3
Source: the Alexandria database
Functional: GGA-PBE
Structure: optimized geometry

Properties
Uncorrected formation energy in eV per atom: -0.33
Theoretical density in g/cm³: 4.290
Relative energy among the computed polymorphs in meV per atom: 674
Total energy in eV per cell: -11.3

abc: 6.362 6.362 6.362
angles: 90.00 90.00 90.00
Atoms (fractional coordinates):
I: 0.500 0.000 0.000
I: 0.000 0.000 0.500
I: 0.000 0.500 0.000
Au: 0.500 0.500 0.500
Sr: 0.000 0.000 0.000

---

6.
Compound: SrAuI5
Source: the Alexandria database
Functional: GGA-PBE
Structure: optimized geometry

Properties
Uncorrected formation energy in eV per atom: -0.61
Theoretical density in g/cm³: 4.968
Total energy in eV per cell: -34.0

abc: 7.757 7.757 11.545
angles: 71.78 71.78 73.94
Atoms (fractional coordinates):
I: 0.346 0.704 0.463
I: 0.285 0.184 0.911
Sr: 0.588 0.412 0.250
I: 0.053 0.947 0.750
I: 0.654 0.296 0.537
I: 0.816 0.715 0.589
Au: 0.000 0.000 0.000
I: 0.715 0.816 0.089
I: 0.296 0.654 0.037
I: 0.947 0.053 0.250
I: 0.184 0.285 0.411
I: 0.704 0.346 0.963
Sr: 0.412 0.588 0.750
Au: 0.000 0.000 0.500

---

7.
Compound: SrAuI4
Source: the Alexandria database
Functional: GGA-PBE
Structure: optimized geometry

Properties
Uncorrected formation energy in eV per atom: -0.81
Theoretical density in g/cm³: 5.010
Relative energy among the computed polymorphs in meV per atom: 0
Total energy in eV per cell: -32.0

abc: 4.809 7.703 14.258
angles: 96.11 90.00 90.00
Atoms (fractional coordinates):
Au: 0.000 0.000 0.000
Au: 0.500 0.500 0.500
I: 0.814 0.642 0.367
Sr: 0.500 0.500 0.000
I: 0.000 0.323 0.121
I: 0.314 0.858 0.133
I: 0.500 0.177 0.379
Sr: 0.000 0.000 0.500
I: 0.186 0.358 0.633
I: 0.000 0.677 0.879
I: 0.686 0.142 0.867
I: 0.500 0.823 0.621

---

8.
Compound: Sr3AuI3
Source: the Alexandria database
Functional: GGA-PBE
Structure: optimized geometry

Properties
Uncorrected formation energy in eV per atom: -1.30
Theoretical density in g/cm³: 4.681
Total energy in eV per cell: -44.1

abc: 4.627 9.718 13.281
angles: 92.94 90.00 90.00
Atoms (fractional coordinates):
I: 0.250 0.884 0.879
Sr: 0.750 0.135 0.865
Au: 0.750 0.119 0.626
Au: 0.250 0.881 0.374
I: 0.750 0.605 0.627
Sr: 0.250 0.896 0.612
Sr: 0.250 0.865 0.135
I: 0.750 0.116 0.121
I: 0.250 0.395 0.373
I: 0.750 0.626 0.122
Sr: 0.750 0.661 0.372
I: 0.250 0.374 0.878
Sr: 0.750 0.104 0.388
Sr: 0.250 0.339 0.628

---

9.
Compound: SrAuI2
Source: the Alexandria database
Functional: GGA-PBE
Structure: optimized geometry

Properties
Uncorrected formation energy in eV per atom: -0.73
Theoretical density in g/cm³: 6.851
Relative energy among the computed polymorphs in meV per atom: 0
Total energy in eV per cell: -11.0

abc: 5.693 5.693 5.693
angles: 60.00 60.00 60.00
Atoms (fractional coordinates):
I: 0.250 0.250 0.250
I: 0.750 0.750 0.750
Sr: 0.000 0.000 0.000
Au: 0.500 0.500 0.500

---

10.
Compound: Sr2AuI2
Source: the Alexandria database
Functional: GGA-PBE
Structure: optimized geometry

Properties
Uncorrected formation energy in eV per atom: -1.22
Theoretical density in g/cm³: 4.826
Total energy in eV per cell: -15.8

abc: 4.697 4.697 11.596
angles: 78.32 78.32 60.00
Atoms (fractional coordinates):
I: 0.224 0.224 0.327
Sr: 0.387 0.387 0.840
Sr: 0.613 0.613 0.160
Au: 0.000 0.000 0.000
I: 0.776 0.776 0.673

---

11.
Compound: Sr2Au4I
Source: the Alexandria database
Functional: GGA-PBE
Structure: optimized geometry

Properties
Uncorrected formation energy in eV per atom: -0.11
Theoretical density in g/cm³: 7.510
Total energy in eV per cell: -18.8

abc: 5.344 5.344 9.247
angles: 73.20 73.20 90.00
Atoms (fractional coordinates):
Sr: 0.364 0.364 0.272
Au: 0.500 0.000 0.000
Au: 0.000 0.500 0.000
Sr: 0.636 0.636 0.728
Au: 0.186 0.186 0.629
I: 0.000 0.000 0.000
Au: 0.814 0.814 0.371

---

12.
Compound: SrAuI3
Source: the Alexandria database
Functional: GGA-PBE
Structure: optimized geometry

Properties
Uncorrected formation energy in eV per atom: -1.01
Theoretical density in g/cm³: 5.460
Relative energy among the computed polymorphs in meV per atom: 0
Total energy in eV per cell: -58.6

abc: 8.100 8.644 11.792
angles: 90.00 78.63 90.00
Atoms (fractional coordinates):
I: 0.801 0.074 0.738
I: 0.684 0.830 0.434
I: 0.291 0.125 0.924
Au: 0.514 0.643 0.154
Sr: 0.561 0.129 0.294
I: 0.816 0.330 0.066
I: 0.699 0.574 0.762
Sr: 0.939 0.629 0.206
I: 0.709 0.875 0.076
I: 0.791 0.375 0.424
I: 0.199 0.926 0.262
I: 0.301 0.426 0.238
Au: 0.486 0.357 0.846
Sr: 0.439 0.871 0.706
Au: 0.986 0.143 0.346
Au: 0.014 0.857 0.654
I: 0.209 0.625 0.576
I: 0.184 0.670 0.934
Sr: 0.061 0.371 0.794
I: 0.316 0.170 0.566

---

13.
Compound: SrAuI4
Source: the Alexandria database
Functional: GGA-PBE
Structure: optimized geometry

Properties
Uncorrected formation energy in eV per atom: -0.76
Theoretical density in g/cm³: 4.785
Relative energy among the computed polymorphs in meV per atom: 42
Total energy in eV per cell: -31.5

abc: 6.121 8.900 10.806
angles: 90.00 90.00 110.93
Atoms (fractional coordinates):
I: 0.914 0.304 0.568
I: 0.278 0.043 0.750
I: 0.386 0.268 0.250
I: 0.914 0.304 0.932
Au: 0.213 0.943 0.250
I: 0.614 0.732 0.750
I: 0.086 0.696 0.068
Au: 0.787 0.057 0.750
I: 0.086 0.696 0.432
I: 0.722 0.957 0.250
Sr: 0.940 0.373 0.250
Sr: 0.060 0.627 0.750

---

14.
Compound: SrAuI6
Source: the Alexandria database
Functional: GGA-PBE
Structure: optimized geometry

Properties
Uncorrected formation energy in eV per atom: -0.56
Theoretical density in g/cm³: 5.133
Total energy in eV per cell: -18.8

abc: 8.944 11.087 6.877
angles: 51.07 46.19 45.78
Atoms (fractional coordinates):
I: 0.258 0.926 0.169
I: 0.742 0.074 0.831
I: 0.409 0.782 0.678
I: 0.997 0.495 0.251
Sr: 0.500 0.500 0.500
Au: 0.000 0.000 0.000
I: 0.591 0.218 0.322
I: 0.003 0.505 0.749

---

15.
Compound: SrAu3I
Source: the Alexandria database
Functional: GGA-PBE
Structure: optimized geometry

Properties
Uncorrected formation energy in eV per atom: 0.58
Theoretical density in g/cm³: 6.884
Relative energy among the computed polymorphs in meV per atom: 342
Total energy in eV per cell: -10.1

abc: 5.792 5.792 5.792
angles: 90.00 90.00 90.00
Atoms (fractional coordinates):
I: 0.500 0.500 0.500
Au: 0.000 0.500 0.000
Au: 0.000 0.000 0.500
Sr: 0.000 0.000 0.000
Au: 0.500 0.000 0.000

---

16.
Compound: SrAuI3
Source: the Alexandria database
Functional: GGA-PBE
Structure: optimized geometry

Properties
Uncorrected formation energy in eV per atom: -0.64
Theoretical density in g/cm³: 5.744
Relative energy among the computed polymorphs in meV per atom: 370
Total energy in eV per cell: -12.8

abc: 5.772 5.772 5.772
angles: 90.00 90.00 90.00
Atoms (fractional coordinates):
Au: 0.000 0.000 0.000
I: 0.000 0.000 0.500
Sr: 0.500 0.500 0.500
I: 0.500 0.000 0.000
I: 0.000 0.500 0.000

---

17.
Compound: SrAu2I6
Source: the Alexandria database
Functional: GGA-PBE
Structure: optimized geometry

Properties
Uncorrected formation energy in eV per atom: -0.48
Theoretical density in g/cm³: 5.138
Total energy in eV per cell: -43.7

abc: 7.694 10.741 10.741
angles: 86.85 72.16 72.16
Atoms (fractional coordinates):
I: 0.487 0.336 0.438
I: 0.719 0.959 0.804
Au: 0.747 0.391 0.219
Sr: 0.250 0.114 0.886
Au: 0.253 0.609 0.781
Au: 0.753 0.781 0.609
I: 0.781 0.196 0.041
I: 0.281 0.041 0.196
I: 0.013 0.562 0.664
I: 0.219 0.804 0.959
Sr: 0.750 0.886 0.114
I: 0.195 0.066 0.604
I: 0.513 0.664 0.562
I: 0.305 0.396 0.934
I: 0.805 0.934 0.396
I: 0.695 0.604 0.066
Au: 0.247 0.219 0.391
I: 0.987 0.438 0.336

---

18.
Compound: Sr2Au2I
Source: the Alexandria database
Functional: GGA-PBE
Structure: optimized geometry

Properties
Uncorrected formation energy in eV per atom: -0.89
Theoretical density in g/cm³: 7.043
Relative energy among the computed polymorphs in meV per atom: 0
Total energy in eV per cell: -31.9

abc: 8.892 8.892 4.151
angles: 90.00 90.00 90.00
Atoms (fractional coordinates):
Sr: 0.174 0.326 0.000
Au: 0.615 0.885 0.500
I: 0.500 0.500 0.000
Au: 0.385 0.115 0.500
Sr: 0.326 0.826 0.000
Sr: 0.826 0.674 0.000
Sr: 0.674 0.174 0.000
I: 0.000 0.000 0.000
Au: 0.115 0.615 0.500
Au: 0.885 0.385 0.500

---

19.
Compound: Sr2Au2I
Source: the Alexandria database
Functional: GGA-PBE
Structure: optimized geometry

Properties
Uncorrected formation energy in eV per atom: -0.75
Theoretical density in g/cm³: 6.606
Relative energy among the computed polymorphs in meV per atom: 145
Total energy in eV per cell: -15.2

abc: 5.690 5.690 6.737
angles: 65.02 65.02 90.00
Atoms (fractional coordinates):
Sr: 0.750 0.250 0.500
Sr: 0.250 0.750 0.500
Au: 0.374 0.374 0.253
I: 0.000 0.000 0.000
Au: 0.626 0.626 0.747

---

20.
Compound: SrAuI2
Source: the Alexandria database
Functional: GGA-PBE
Structure: optimized geometry

Properties
Uncorrected formation energy in eV per atom: -0.67
Theoretical density in g/cm³: 5.517
Relative energy among the computed polymorphs in meV per atom: 62
Total energy in eV per cell: -21.4

abc: 5.784 5.784 10.516
angles: 74.04 74.04 90.00
Atoms (fractional coordinates):
Sr: 0.500 0.500 0.000
I: 0.375 0.346 0.750
I: 0.096 0.625 0.250
I: 0.875 0.904 0.750
I: 0.654 0.125 0.250
Au: 0.000 0.000 0.000
Sr: 0.250 0.750 0.500
Au: 0.750 0.250 0.500